The following is a DFT calculation (GGA-PBE) of a relaxed structure of CePr6SmHo2.

Cell lengths 8.9468, 7.1044, 6.6800 Å; angles 122.13, 100.49, 90.00 degrees
Atoms (fractional coordinates):
Pr 0.7981 0.9359 0.3397
Pr 0.5806 0.3698 0.7397
Pr 0.2019 0.5962 0.6603
Pr 0.7981 0.4038 0.3397
Pr 0.2019 0.0641 0.6603
Pr 0.4194 0.6302 0.2603
Sm 0.5000 0.0000 0.0000
Ce 0.0000 0.5000 0.0000
Ho 0.1577 0.0931 0.1862
Ho 0.8423 0.9069 0.8138

Properties
Symmetry: C2/m, No. 12
Formation enthalpy at 0 K, meV per atom: 231
Calculated density, g/cm3: 6.9
Total magnetic moment, μB per cell: 1.19
Final energy, eV per atom: -4.617